Entry 1:
Ca2ZnHg | meta-GGA SCAN | PBEsol geometry

Summary:
- formation enthalpy at 0 K (meV/atom) = -507
- magnetic moment (μB/f.u.) = 0.00
- N(E_F) (states/eV/atom) = 0.554

Unit cell a=5.1803 b=5.1803 c=5.1803 alpha=60.00 beta=60.00 gamma=60.00
Fractional coordinates of all 4 atoms:
Ca (0.7500, 0.7500, 0.7500)
Ca (0.2500, 0.2500, 0.2500)
Hg (0.5000, 0.5000, 0.5000)
Zn (0.0000, 0.0000, 0.0000)

Entry 2:
HgMo2W | meta-GGA SCAN | PBEsol geometry

Summary:
- formation enthalpy at 0 K (meV/atom) = 371
- magnetic moment (μB/f.u.) = 0.00
- N(E_F) (states/eV/atom) = 0.544

Unit cell a=2.7559 b=2.7559 c=9.1655 alpha=90.00 beta=90.00 gamma=108.77
Fractional coordinates of all 4 atoms:
Hg (0.5000, 0.5000, 0.2485)
Mo (0.5000, 0.5000, 0.7511)
Mo (0.0000, 0.0000, 0.9828)
W (0.0000, 0.0000, 0.5175)

Entry 3:
LaAlAg3 | meta-GGA SCAN | PBEsol geometry

Summary:
- formation enthalpy at 0 K (meV/atom) = 1152
- magnetic moment (μB/f.u.) = 0.00
- N(E_F) (states/eV/atom) = 0.328

Unit cell a=5.5224 b=5.5224 c=5.5224 alpha=90.00 beta=90.00 gamma=90.00
Fractional coordinates of all 5 atoms:
La (0.0000, 0.0000, 0.0000)
Ag (0.0000, 0.0000, 0.5000)
Ag (0.5000, 0.0000, 0.0000)
Ag (0.0000, 0.5000, 0.0000)
Al (0.5000, 0.5000, 0.5000)

Entry 4:
SrCuN | meta-GGA SCAN | PBEsol geometry

Summary:
- formation energy (no corrections) (eV/atom) = -0.57
- magnetic moment (μB/f.u.) = 0.00

Unit cell a=5.3177 b=8.9424 c=13.0526 alpha=90.00 beta=90.00 gamma=90.00
Fractional coordinates of all 36 atoms:
Sr (0.0026, 0.0205, 0.2500)
Sr (0.9843, 0.6606, 0.9132)
Sr (0.0157, 0.3394, 0.4132)
Sr (0.4843, 0.8394, 0.4132)
Sr (0.0157, 0.3394, 0.0868)
Sr (0.5157, 0.1606, 0.9132)
Sr (0.5157, 0.1606, 0.5868)
Sr (0.9974, 0.9795, 0.7500)
Sr (0.5026, 0.4795, 0.7500)
Sr (0.4843, 0.8394, 0.0868)
Sr (0.4974, 0.5205, 0.2500)
Sr (0.9843, 0.6606, 0.5868)
Cu (0.0130, 0.3217, 0.6561)
Cu (0.5000, 0.5000, 0.0000)
Cu (0.0000, 0.0000, 0.5000)
Cu (0.4870, 0.8217, 0.8439)
Cu (0.0130, 0.3217, 0.8439)
Cu (0.9870, 0.6783, 0.1561)
Cu (0.0000, 0.0000, 0.0000)
Cu (0.5130, 0.1783, 0.1561)
Cu (0.5000, 0.5000, 0.5000)
Cu (0.5130, 0.1783, 0.3439)
Cu (0.9870, 0.6783, 0.3439)
Cu (0.4870, 0.8217, 0.6561)
N (0.7835, 0.2423, 0.7500)
N (0.2165, 0.7577, 0.2500)
N (0.7401, 0.5873, 0.0806)
N (0.2401, 0.9127, 0.5806)
N (0.7165, 0.7423, 0.7500)
N (0.2599, 0.4127, 0.5806)
N (0.2401, 0.9127, 0.9194)
N (0.7599, 0.0873, 0.0806)
N (0.2835, 0.2577, 0.2500)
N (0.2599, 0.4127, 0.9194)
N (0.7599, 0.0873, 0.4194)
N (0.7401, 0.5873, 0.4194)

Entry 5:
Ca2CdTc | meta-GGA SCAN | PBEsol geometry

Summary:
- formation enthalpy at 0 K (meV/atom) = 313
- magnetic moment (μB/f.u.) = 0.00
- N(E_F) (states/eV/atom) = 0.745

Unit cell a=3.0517 b=5.4823 c=5.8649 alpha=104.87 beta=105.08 gamma=90.00
Fractional coordinates of all 4 atoms:
Cd (0.5364, 0.4768, 0.0728)
Ca (0.9682, 0.9292, 0.9364)
Ca (0.7739, 0.3062, 0.5479)
Tc (0.2215, 0.7879, 0.4429)

Entry 6:
Sm2Fe12P7 | meta-GGA SCAN | PBEsol geometry

Summary:
- formation enthalpy at 0 K (meV/atom) = -601
- magnetic moment (μB/f.u.) = 1.80
- N(E_F) (states/eV/atom) = 0.672

Unit cell a=3.6133 b=8.8655 c=8.8655 alpha=120.00 beta=90.00 gamma=90.00
Each line ends with the local moment (μB).
Fractional coordinates of all 21 atoms:
P (0.5000, 0.8929, 0.6031)  0.03
P (0.5000, 0.7103, 0.1071)  0.03
P (0.0000, 0.5923, 0.7011)  0.04
P (0.0000, 0.1088, 0.4077)  0.04
P (0.5000, 0.3969, 0.2897)  0.03
P (0.0000, 0.0000, 0.0000)  0.01
P (0.0000, 0.2989, 0.8912)  0.04
Fe (0.5000, 0.9511, 0.3825)  -0.68
Fe (0.5000, 0.6175, 0.5686)  -0.68
Fe (0.0000, 0.3687, 0.4246)  -1.14
Fe (0.5000, 0.4314, 0.0489)  -0.68
Fe (0.0000, 0.5754, 0.9441)  -1.14
Fe (0.5000, 0.1147, 0.2113)  2.23
Fe (0.0000, 0.8479, 0.7277)  -1.07
Fe (0.0000, 0.8798, 0.1521)  -1.07
Fe (0.0000, 0.2723, 0.1202)  -1.07
Fe (0.5000, 0.0965, 0.8853)  2.23
Fe (0.0000, 0.0559, 0.6313)  -1.14
Fe (0.5000, 0.7887, 0.9035)  2.23
Sm (0.0000, 0.6667, 0.3333)  0.01
Sm (0.5000, 0.3333, 0.6667)  0.07